[1]
The following is a DFT calculation (PBE) of crystalline AcPm2Nd3Se6 at its relaxed geometry.

The structure in CIF format:
```
data_AcPm2Nd3Se6
_chemical_formula_sum 'Ac1 Pm2 Nd3 Se6'
_space_group_name_H-M_alt 'P 1'
_space_group_IT_number 1
_space_group_name_Hall 'P 1'
_cell_length_a 7.3888
_cell_length_b 7.3888
_cell_length_c 7.3810
_cell_angle_alpha 99.62
_cell_angle_beta 99.62
_cell_angle_gamma 120.23
loop_
_atom_site_label
_atom_site_type_symbol
_atom_site_fract_x
_atom_site_fract_y
_atom_site_fract_z
Ac1 Ac 0.0000 0.0000 0.0000
Pm1 Pm 0.3324 0.6676 0.0000
Pm2 Pm 0.6676 0.3324 0.0000
Nd1 Nd 0.1628 0.8372 0.5000
Nd2 Nd 0.8372 0.1628 0.5000
Nd3 Nd 0.5000 0.5000 0.5000
Se1 Se 0.9148 0.5723 0.7456
Se2 Se 0.7397 0.7397 0.2493
Se3 Se 0.0852 0.4277 0.2544
Se4 Se 0.5723 0.9148 0.7456
Se5 Se 0.2603 0.2603 0.7507
Se6 Se 0.4277 0.0852 0.2544
```

Results
Symmetry: C2/m, No. 12
Spin magnetization, Bohr magnetons per cell: 0.0
V, A^3/atom: 27.33
Formation energy without anion corrections, eV/f.u.: -22.0

---

[2]
The following is a DFT calculation (PBE) of crystalline KMgZn at its relaxed geometry.

The structure in CIF format:
```
data_KMgZn
_chemical_formula_sum 'K1 Mg1 Zn1'
_space_group_name_H-M_alt 'P 1'
_space_group_IT_number 1
_space_group_name_Hall 'P 1'
_cell_length_a 4.9132
_cell_length_b 4.9132
_cell_length_c 4.8489
_cell_angle_alpha 90.00
_cell_angle_beta 90.00
_cell_angle_gamma 120.00
loop_
_atom_site_label
_atom_site_type_symbol
_atom_site_fract_x
_atom_site_fract_y
_atom_site_fract_z
K1 K 0.0000 0.0000 0.0003
Mg1 Mg 0.6667 0.3333 0.5000
Zn1 Zn 0.3333 0.6667 0.4998
```

Results
Symmetry: P-6m2, No. 187
ΔH_f (0 K), meV/atom: 184
Spin magnetization, Bohr magnetons per cell: 0.0
V, A^3/atom: 33.79

---

[3]
The following is a DFT calculation (PBE) of crystalline ReSb2IO at its relaxed geometry.

The structure in CIF format:
```
data_ReSb2IO
_chemical_formula_sum 'Re1 Sb2 I1 O1'
_space_group_name_H-M_alt 'P 1'
_space_group_IT_number 1
_space_group_name_Hall 'P 1'
_cell_length_a 5.0998
_cell_length_b 5.0998
_cell_length_c 5.4586
_cell_angle_alpha 90.00
_cell_angle_beta 90.00
_cell_angle_gamma 90.00
loop_
_atom_site_label
_atom_site_type_symbol
_atom_site_fract_x
_atom_site_fract_y
_atom_site_fract_z
I1 I 0.0000 0.0000 0.5000
Re1 Re 0.0000 0.0000 0.0000
O1 O 0.5000 0.5000 0.5000
Sb1 Sb 0.0000 0.5000 0.0000
Sb2 Sb 0.5000 0.0000 0.0000
```

Results
Symmetry: P4/mmm, No. 123
Spin magnetization, Bohr magnetons per cell: 0.0
V, A^3/atom: 28.39
Formation energy without anion corrections, eV/f.u.: 5.2

---

[4]
The following is a DFT calculation (PBE) of crystalline NaRhIO6 at its relaxed geometry.

The structure in CIF format:
```
data_NaRhIO6
_chemical_formula_sum 'Na2 Rh2 I2 O12'
_space_group_name_H-M_alt 'P 1'
_space_group_IT_number 1
_space_group_name_Hall 'P 1'
_cell_length_a 5.2217
_cell_length_b 5.2217
_cell_length_c 10.4586
_cell_angle_alpha 90.00
_cell_angle_beta 90.00
_cell_angle_gamma 120.00
loop_
_atom_site_label
_atom_site_type_symbol
_atom_site_fract_x
_atom_site_fract_y
_atom_site_fract_z
Na1 Na 0.0000 0.0000 0.0000
Na2 Na 0.0000 0.0000 0.5000
Rh1 Rh 0.3333 0.6667 0.2500
Rh2 Rh 0.6667 0.3333 0.7500
I1 I 0.6667 0.3333 0.2500
I2 I 0.3333 0.6667 0.7500
O1 O 0.6354 0.6251 0.1467
O2 O 0.9898 0.3646 0.1467
O3 O 0.3646 0.9898 0.6467
O4 O 0.0102 0.6354 0.8533
O5 O 0.3749 0.3646 0.3533
O6 O 0.9898 0.6251 0.3533
O7 O 0.6251 0.9898 0.8533
O8 O 0.6354 0.0102 0.3533
O9 O 0.0102 0.3749 0.6467
O10 O 0.3749 0.0102 0.1467
O11 O 0.6251 0.6354 0.6467
O12 O 0.3646 0.3749 0.8533
```

Results
Symmetry: P-31c, No. 163
Spin magnetization, Bohr magnetons per cell: 2.1
V, A^3/atom: 13.72
Formation energy without anion corrections, eV/f.u.: -6.4

---

[5]
The following is a DFT calculation (PBE) of crystalline ZnAu3 at its relaxed geometry.

The structure in CIF format:
```
data_ZnAu3
_chemical_formula_sum 'Zn2 Au6'
_space_group_name_H-M_alt 'P 1'
_space_group_IT_number 1
_space_group_name_Hall 'P 1'
_cell_length_a 5.2407
_cell_length_b 5.2407
_cell_length_c 5.2407
_cell_angle_alpha 90.00
_cell_angle_beta 90.00
_cell_angle_gamma 90.00
loop_
_atom_site_label
_atom_site_type_symbol
_atom_site_fract_x
_atom_site_fract_y
_atom_site_fract_z
Zn1 Zn 0.0000 0.0000 0.0000
Zn2 Zn 0.5000 0.5000 0.5000
Au1 Au 0.0000 0.2500 0.5000
Au2 Au 0.0000 0.7500 0.5000
Au3 Au 0.2500 0.5000 0.0000
Au4 Au 0.5000 0.0000 0.2500
Au5 Au 0.5000 0.0000 0.7500
Au6 Au 0.7500 0.5000 0.0000
```

Results
Symmetry: Pm-3n, No. 223
ΔH_f (0 K), meV/atom: 4
Spin magnetization, Bohr magnetons per cell: 0.0
V, A^3/atom: 17.99

---

[6]
The following is a DFT calculation (PBE) of crystalline YHOs2 at its relaxed geometry.

The structure in CIF format:
```
data_YHOs2
_chemical_formula_sum 'Y1 H1 Os2'
_space_group_name_H-M_alt 'P 1'
_space_group_IT_number 1
_space_group_name_Hall 'P 1'
_cell_length_a 4.4625
_cell_length_b 4.4625
_cell_length_c 4.4625
_cell_angle_alpha 60.00
_cell_angle_beta 60.00
_cell_angle_gamma 60.00
loop_
_atom_site_label
_atom_site_type_symbol
_atom_site_fract_x
_atom_site_fract_y
_atom_site_fract_z
Y1 Y 0.5000 0.5000 0.5000
H1 H 0.0000 0.0000 0.0000
Os1 Os 0.2500 0.2500 0.2500
Os2 Os 0.7500 0.7500 0.7500
```

Results
Symmetry: Fm-3m, No. 225
VASP energy, eV/cell: -26.6
Spin magnetization, Bohr magnetons per cell: 0.0
V, A^3/atom: 15.71

---

[7]
The following is a DFT calculation (PBE) of crystalline BeSn2S at its relaxed geometry.

The structure in CIF format:
```
data_BeSn2S
_chemical_formula_sum 'Be1 Sn2 S1'
_space_group_name_H-M_alt 'P 1'
_space_group_IT_number 1
_space_group_name_Hall 'P 1'
_cell_length_a 4.8795
_cell_length_b 4.8795
_cell_length_c 4.8795
_cell_angle_alpha 60.00
_cell_angle_beta 60.00
_cell_angle_gamma 60.00
loop_
_atom_site_label
_atom_site_type_symbol
_atom_site_fract_x
_atom_site_fract_y
_atom_site_fract_z
Be1 Be 0.0000 0.0000 0.0000
S1 S 0.5000 0.5000 0.5000
Sn1 Sn 0.2500 0.2500 0.2500
Sn2 Sn 0.7500 0.7500 0.7500
```

Results
Symmetry: Fm-3m, No. 225
Spin magnetization, Bohr magnetons per cell: 0.0
V, A^3/atom: 20.54
Formation energy without anion corrections, eV/f.u.: 1.9

---

[8]
The following is a DFT calculation (PBE) of crystalline NiC at its relaxed geometry.

The structure in CIF format:
```
data_NiC
_chemical_formula_sum 'Ni2 C2'
_space_group_name_H-M_alt 'P 1'
_space_group_IT_number 1
_space_group_name_Hall 'P 1'
_cell_length_a 4.1635
_cell_length_b 4.1635
_cell_length_c 4.1635
_cell_angle_alpha 49.50
_cell_angle_beta 49.50
_cell_angle_gamma 49.50
loop_
_atom_site_label
_atom_site_type_symbol
_atom_site_fract_x
_atom_site_fract_y
_atom_site_fract_z
Ni1 Ni 0.2370 0.2370 0.2370
Ni2 Ni 0.7630 0.7630 0.7630
C1 C 0.0624 0.0624 0.0624
C2 C 0.9376 0.9376 0.9376
```

Results
Symmetry: R-3m, No. 166
ΔH_f (0 K), meV/atom: 691
Spin magnetization, Bohr magnetons per cell: 0.0
V, A^3/atom: 9.59

---

[9]
The following is a DFT calculation (PBE) of crystalline Pa2Si4NiIr3 at its relaxed geometry.

The structure in CIF format:
```
data_Pa2Si4NiIr3
_chemical_formula_sum 'Pa2 Si4 Ni1 Ir3'
_space_group_name_H-M_alt 'P 1'
_space_group_IT_number 1
_space_group_name_Hall 'P 1'
_cell_length_a 4.1116
_cell_length_b 4.1116
_cell_length_c 9.7980
_cell_angle_alpha 90.00
_cell_angle_beta 90.00
_cell_angle_gamma 90.00
loop_
_atom_site_label
_atom_site_type_symbol
_atom_site_fract_x
_atom_site_fract_y
_atom_site_fract_z
Pa1 Pa 0.5000 0.0000 0.2530
Pa2 Pa 0.0000 0.5000 0.7470
Si1 Si 0.5000 0.5000 0.0000
Si2 Si 0.0000 0.0000 0.0000
Si3 Si 0.5000 0.0000 0.6276
Si4 Si 0.0000 0.5000 0.3724
Ni1 Ni 0.5000 0.5000 0.5000
Ir1 Ir 0.0000 0.0000 0.5000
Ir2 Ir 0.5000 0.0000 0.8701
Ir3 Ir 0.0000 0.5000 0.1299
```

Results
Symmetry: P-4m2, No. 115
Spin magnetization, Bohr magnetons per cell: 0.0
V, A^3/atom: 16.56
Formation energy without anion corrections, eV/f.u.: -9.2

---

[10]
The following is a DFT calculation (PBE) of crystalline PmTlSbPd at its relaxed geometry.

The structure in CIF format:
```
data_PmTlSbPd
_chemical_formula_sum 'Pm1 Tl1 Sb1 Pd1'
_space_group_name_H-M_alt 'P 1'
_space_group_IT_number 1
_space_group_name_Hall 'P 1'
_cell_length_a 5.1734
_cell_length_b 5.1734
_cell_length_c 5.1734
_cell_angle_alpha 60.00
_cell_angle_beta 60.00
_cell_angle_gamma 60.00
loop_
_atom_site_label
_atom_site_type_symbol
_atom_site_fract_x
_atom_site_fract_y
_atom_site_fract_z
Sb1 Sb 0.2500 0.2500 0.2500
Tl1 Tl 0.0000 0.0000 0.0000
Pd1 Pd 0.5000 0.5000 0.5000
Pm1 Pm 0.7500 0.7500 0.7500
```

Results
Symmetry: F-43m, No. 216
Spin magnetization, Bohr magnetons per cell: 0.0
V, A^3/atom: 24.48
Formation energy without anion corrections, eV/f.u.: -1.6

---

[11]
The following is a DFT calculation (PBE) of crystalline Y2ErTl3S6 at its relaxed geometry.

The structure in CIF format:
```
data_Y2ErTl3S6
_chemical_formula_sum 'Y2 Er1 Tl3 S6'
_space_group_name_H-M_alt 'P 1'
_space_group_IT_number 1
_space_group_name_Hall 'P 1'
_cell_length_a 6.9678
_cell_length_b 6.9678
_cell_length_c 7.8709
_cell_angle_alpha 98.48
_cell_angle_beta 98.48
_cell_angle_gamma 120.00
loop_
_atom_site_label
_atom_site_type_symbol
_atom_site_fract_x
_atom_site_fract_y
_atom_site_fract_z
Y1 Y 0.3334 0.6666 0.0000
Y2 Y 0.6666 0.3334 0.0000
Er1 Er 0.0000 0.0000 0.0000
Tl1 Tl 0.1672 0.8328 0.5000
Tl2 Tl 0.8328 0.1672 0.5000
Tl3 Tl 0.5000 0.5000 0.5000
S1 S 0.9342 0.6036 0.8027
S2 S 0.7353 0.7353 0.1979
S3 S 0.0658 0.3964 0.1973
S4 S 0.6036 0.9342 0.8027
S5 S 0.2647 0.2647 0.8021
S6 S 0.3964 0.0658 0.1973
```

Results
Symmetry: C2/m, No. 12
Spin magnetization, Bohr magnetons per cell: 0.0
V, A^3/atom: 26.35
Formation energy without anion corrections, eV/f.u.: -17.9